No. 1
! Dy3SbSe2 | OQMD via LeMat-Bulk | PBE | relaxed; values from VASP
&SYSTEM
  ibrav = 0, nat = 6, ntyp = 3
/
ATOMIC_SPECIES
Dy 162.50 Dy.upf
Sb 121.76 Sb.upf
Se 78.96 Se.upf
CELL_PARAMETERS angstrom
4.187 0.000 0.000
-2.093 3.626 0.000
0.000 0.000 10.165
ATOMIC_POSITIONS crystal
Dy 0.000 0.000 0.000
Dy 0.333 0.667 0.680
Dy 0.667 0.333 0.320
Sb 0.000 0.000 0.500
Se 0.333 0.667 0.160
Se 0.667 0.333 0.840
! total moment	0.0	μB/cell
! SG	P-3m1 (164)
! E	-5.69	eV/atom
! crystal system	trigonal

---

No. 2
! Cu2Ag3 | OQMD via LeMat-Bulk | PBE | relaxed; values from VASP
&SYSTEM
  ibrav = 0, nat = 10, ntyp = 2
/
ATOMIC_SPECIES
Cu 63.55 Cu.upf
Ag 107.87 Ag.upf
CELL_PARAMETERS angstrom
9.595 -1.429 0.000
9.595 1.429 0.000
-0.839 0.000 5.659
ATOMIC_POSITIONS crystal
Cu 0.001 0.001 0.257
Cu 0.201 0.201 0.862
Cu 0.799 0.799 0.138
Cu 0.999 0.999 0.743
Ag 0.202 0.202 0.336
Ag 0.402 0.402 0.446
Ag 0.406 0.406 0.961
Ag 0.594 0.594 0.039
Ag 0.598 0.598 0.554
Ag 0.798 0.798 0.664
! SG	C2/m (12)
! E	-3.09	eV/atom
! calculated formation energy	0.0889	eV/atom
! crystal system	monoclinic
! excess energy over the best structure of this formula in the dataset	5.46	kJ per mole of atoms